Computed, not measured: a geometry-optimized YErPt structure at the GGA-PBE level of DFT.

Lattice parameters (Å, degrees): 3.6058 5.1326 8.1502 90.00 102.78 90.00
Last column: nearest neighbours and their distance in Å.
Element x y z (fractional)
Pt: 0.4227 0.7500 0.8454  2 Er 2.87, 6 Y 3.00-3.14
Y: 0.9265 0.2500 0.8531  6 Pt 3.00-3.14
Y: 0.0735 0.7500 0.1469  6 Pt 3.00-3.14
Er: 0.2174 0.2500 0.4348  2 Pt 2.87
Er: 0.7826 0.7500 0.5652  2 Pt 2.87
Pt: 0.5773 0.2500 0.1546  2 Er 2.87, 6 Y 3.00-3.14

crystal system	orthorhombic
symmetry	Cmcm
ΔH_f (0 K)	-0.824	eV per atom
distance to the lowest polymorph of the same formula	0.058	eV/atom
density	10.19	Mg/m³

=====

Computed, not measured: a geometry-optimized Rb2VPdS4 structure at the GGA-PBE level of DFT.

Lattice parameters (Å, degrees): 5.6692 7.3593 11.9538 84.76 76.28 67.35
Last column: nearest neighbours and their distance in Å.
Element x y z (fractional)
Rb: 0.9264 0.5000 0.1473  8 S 3.43-3.68
Pd: 0.7500 0.5000 0.5000  4 S 2.39
S: 0.8794 0.6922 0.6066  1 V 2.19, 1 Pd 2.39
Rb: 0.1764 0.0000 0.6473  8 S 3.43-3.68
S: 0.1781 0.3078 0.3934  1 V 2.19, 1 Pd 2.39
V: 0.2500 0.5000 0.5000  4 S 2.19
V: 0.5000 0.0000 0.0000  4 S 2.19
S: 0.2360 0.1922 0.8934  1 V 2.19, 1 Pd 2.39
S: 0.5140 0.3078 0.6066  1 V 2.19, 1 Pd 2.39
S: 0.4285 0.6922 0.3934  1 V 2.19, 1 Pd 2.39
S: 0.5719 0.1922 0.1066  1 V 2.19, 1 Pd 2.39
Pd: 0.0000 0.0000 0.0000  4 S 2.39
Rb: 0.8236 0.0000 0.3527  8 S 3.43-3.68
S: 0.8706 0.8078 0.8934  1 V 2.19, 1 Pd 2.39
S: 0.3215 0.8078 0.1066  1 V 2.19, 1 Pd 2.39
Rb: 0.5736 0.5000 0.8527  8 S 3.43-3.68

crystal system	orthorhombic
symmetry	Fddd
density	3.39	Mg/m³
energy relative to the elements, uncorrected	-951	meV per atom

=====

Computed, not measured: a geometry-optimized AgN structure at the GGA-PBE level of DFT.

Lattice parameters (Å, degrees): 2.8727 2.8727 2.8727 90.00 90.00 90.00
Last column: nearest neighbours and their distance in Å.
Element x y z (fractional)
N: 0.5000 0.5000 0.5000  8 Ag 2.49
Ag: 0.0000 0.0000 0.0000  8 N 2.49

crystal system	cubic
symmetry	Pm-3m
distance to the lowest polymorph of the same formula	1.581	eV/atom
density	8.54	Mg/m³
energy relative to the elements, uncorrected	1839	meV per atom

=====

Number 1: calculated total energy -6.513 eV/atom, total moment 0.0000 μB per atom. Number 2: calculated total energy -5.046 eV/atom, total moment 0.0000 μB per atom. Number 3: calculated total energy -3.749 eV/atom, total moment 0.0003 μB per atom.